DFT (GGA-PBE) results for an optimized crystal structure of PaInSi2.

Cell lengths 4.4774, 4.4774, 3.9765 Å; angles 90.00, 90.00, 90.00 degrees
With the nearest neighbours (Å) after each atom.
Fractional coordinates of all 4 atoms:
Pa: 0.0000 0.0000 0.0000  8 Si 2.99, 4 In 3.17
In: 0.5000 0.5000 0.0000  8 Si 2.99, 4 Pa 3.17
Si: 0.0000 0.5000 0.5000  4 In 2.99, 4 Pa 2.99, 4 Si 3.17
Si: 0.5000 0.0000 0.5000  4 In 2.99, 4 Pa 2.99, 4 Si 3.17

Properties
Energy relative to the lowest polymorph listed for this composition ... 0.0 meV per atom
VASP energy ... -6.04 eV/atom
Space group ... No. 123
E_form (uncorrected) ... -26 kJ/mol of atoms